The following is a PBE-GGA calculation of BaMg2Ag after structural relaxation, from the Alexandria database.

Unit cell a=17.724 b=8.353 c=6.359 alpha=90.00 beta=90.00 gamma=90.00
Sites, in units of the cell vectors:
Ba: 0.104 0.250 0.225
Ba: 0.135 0.750 0.035
Ba: 0.365 0.250 0.535
Ba: 0.396 0.750 0.725
Ba: 0.604 0.250 0.275
Ba: 0.635 0.750 0.465
Ba: 0.865 0.250 0.965
Ba: 0.896 0.750 0.775
Mg: 0.043 0.061 0.711
Mg: 0.043 0.439 0.711
Mg: 0.211 0.558 0.541
Mg: 0.211 0.942 0.541
Mg: 0.289 0.058 0.041
Mg: 0.289 0.442 0.041
Mg: 0.457 0.561 0.211
Mg: 0.457 0.939 0.211
Mg: 0.543 0.061 0.789
Mg: 0.543 0.439 0.789
Mg: 0.711 0.558 0.959
Mg: 0.711 0.942 0.959
Mg: 0.789 0.058 0.459
Mg: 0.789 0.442 0.459
Mg: 0.957 0.561 0.289
Mg: 0.957 0.939 0.289
Ag: 0.070 0.750 0.522
Ag: 0.187 0.250 0.750
Ag: 0.313 0.750 0.250
Ag: 0.430 0.250 0.022
Ag: 0.570 0.750 0.978
Ag: 0.687 0.250 0.750
Ag: 0.813 0.750 0.250
Ag: 0.930 0.250 0.478

Computed properties:
spin magnetization	0.00	μB/f.u.
symmetry	Pnma
calculated formation energy	-0.179	eV per atom

=====

The following is a PBE-GGA calculation of BaNa2MgAg after structural relaxation, from the Alexandria database.

Unit cell a=5.711 b=5.711 c=5.429 alpha=90.00 beta=90.00 gamma=90.00
Sites, in units of the cell vectors:
Ba: 0.000 0.000 0.000
Na: 0.000 0.500 0.500
Na: 0.500 0.000 0.500
Mg: 0.500 0.500 0.000
Ag: 0.500 0.500 0.500

Computed properties:
spin magnetization	0.00	μB/f.u.
symmetry	P4/mmm
calculated formation energy	0.031	eV per atom

=====

The following is a PBE-GGA calculation of BaNaMg2Ag after structural relaxation, from the Alexandria database.

Unit cell a=5.426 b=5.426 c=6.158 alpha=90.00 beta=90.00 gamma=90.00
Sites, in units of the cell vectors:
Ba: 0.000 0.000 0.000
Na: 0.500 0.500 0.000
Mg: 0.000 0.500 0.500
Mg: 0.500 0.000 0.500
Ag: 0.000 0.000 0.500

Computed properties:
spin magnetization	0.00	μB/f.u.
symmetry	P4/mmm
calculated formation energy	0.048	eV per atom

=====

The following is a PBE-GGA calculation of BaNaMg2Ag after structural relaxation, from the Alexandria database.

Unit cell a=5.337 b=5.337 c=5.691 alpha=90.00 beta=90.00 gamma=90.00
Sites, in units of the cell vectors:
Ba: 0.000 0.000 0.000
Na: 0.500 0.500 0.000
Mg: 0.000 0.500 0.500
Mg: 0.500 0.000 0.500
Ag: 0.500 0.500 0.500

Computed properties:
spin magnetization	0.00	μB/f.u.
symmetry	P4/mmm
calculated formation energy	-0.012	eV per atom

=====

The following is a PBE-GGA calculation of Ba2NaMgAg after structural relaxation, from the Alexandria database.

Unit cell a=6.508 b=6.508 c=5.352 alpha=90.00 beta=90.00 gamma=90.00
Sites, in units of the cell vectors:
Ba: 0.000 0.500 0.000
Ba: 0.500 0.000 0.000
Na: 0.000 0.000 0.500
Mg: 0.500 0.500 0.500
Ag: 0.500 0.500 0.000

Computed properties:
spin magnetization	0.00	μB/f.u.
symmetry	P4/mmm
calculated formation energy	-0.043	eV per atom

=====

The following is a PBE-GGA calculation of Ba2NaMgAg after structural relaxation, from the Alexandria database.

Unit cell a=6.449 b=6.449 c=5.550 alpha=90.00 beta=90.00 gamma=90.00
Sites, in units of the cell vectors:
Ba: 0.000 0.500 0.000
Ba: 0.500 0.000 0.000
Na: 0.000 0.000 0.500
Mg: 0.500 0.500 0.500
Ag: 0.000 0.000 0.000

Computed properties:
spin magnetization	0.00	μB/f.u.
symmetry	P4/mmm
calculated formation energy	0.053	eV per atom

=====

The following is a PBE-GGA calculation of Ba2MgNiAg after structural relaxation, from the Alexandria database.

Unit cell a=5.915 b=5.915 c=4.977 alpha=90.00 beta=90.00 gamma=90.00
Sites, in units of the cell vectors:
Ba: 0.000 0.500 0.000
Ba: 0.500 0.000 0.000
Mg: 0.000 0.000 0.500
Ni: 0.000 0.000 0.000
Ag: 0.500 0.500 0.500

Computed properties:
spin magnetization	0.00	μB/f.u.
symmetry	P4/mmm
calculated formation energy	-0.008	eV per atom

=====

The following is a PBE-GGA calculation of BaMgAg4O8 after structural relaxation, from the Alexandria database.

Unit cell a=5.758 b=5.758 c=7.242 alpha=90.00 beta=90.00 gamma=120.00
Sites, in units of the cell vectors:
Ba: 0.000 0.000 0.000
Mg: 0.000 0.000 0.500
Ag: 0.333 0.667 0.287
Ag: 0.333 0.667 0.713
Ag: 0.667 0.333 0.287
Ag: 0.667 0.333 0.713
O: 0.000 0.280 0.316
O: 0.000 0.720 0.684
O: 0.280 0.000 0.316
O: 0.280 0.280 0.684
O: 0.333 0.667 0.000
O: 0.667 0.333 0.000
O: 0.720 0.000 0.684
O: 0.720 0.720 0.316

Computed properties:
spin magnetization	0.00	μB/f.u.
symmetry	P-31m
ΔE_f (raw)	-0.470	eV/atom

=====

The following is a PBE-GGA calculation of Ba2MgAgO4 after structural relaxation, from the Alexandria database.

Unit cell a=5.667 b=5.667 c=5.667 alpha=112.31 beta=112.31 gamma=103.93
Sites, in units of the cell vectors:
Ba: 0.000 0.000 0.000
Ba: 0.750 0.250 0.500
Mg: 0.500 0.500 0.000
Ag: 0.250 0.750 0.500
O: 0.178 0.134 0.624
O: 0.447 0.822 0.956
O: 0.509 0.553 0.376
O: 0.866 0.491 0.044

Computed properties:
spin magnetization	1.04	μB/f.u.
symmetry	I-4
ΔE_f (raw)	-1.803	eV/atom

=====

The following is a PBE-GGA calculation of Ba2MgAg2O6 after structural relaxation, from the Alexandria database.

Unit cell a=6.754 b=6.754 c=6.754 alpha=53.62 beta=53.62 gamma=53.62
Sites, in units of the cell vectors:
Ba: 0.216 0.216 0.216
Ba: 0.784 0.784 0.784
Mg: 0.000 0.000 0.000
Ag: 0.414 0.414 0.414
Ag: 0.586 0.586 0.586
O: 0.200 0.773 0.773
O: 0.227 0.227 0.800
O: 0.227 0.800 0.227
O: 0.773 0.200 0.773
O: 0.773 0.773 0.200
O: 0.800 0.227 0.227

Computed properties:
spin magnetization	0.00	μB/f.u.
symmetry	R-3m
ΔE_f (raw)	-1.246	eV/atom

=====

The following is a PBE-GGA calculation of Ba2MgAgO after structural relaxation, from the Alexandria database.

Unit cell a=5.783 b=5.783 c=4.194 alpha=90.00 beta=90.00 gamma=90.00
Sites, in units of the cell vectors:
Ba: 0.000 0.500 0.000
Ba: 0.500 0.000 0.000
Mg: 0.000 0.000 0.500
Ag: 0.500 0.500 0.500
O: 0.000 0.000 0.000

Computed properties:
spin magnetization	0.00	μB/f.u.
symmetry	P4/mmm
ΔE_f (raw)	-0.963	eV/atom

=====

The following is a PBE-GGA calculation of BaMg2AgPd after structural relaxation, from the Alexandria database.

Unit cell a=5.028 b=5.028 c=5.490 alpha=90.00 beta=90.00 gamma=90.00
Sites, in units of the cell vectors:
Ba: 0.000 0.000 0.000
Mg: 0.000 0.500 0.500
Mg: 0.500 0.000 0.500
Ag: 0.500 0.500 0.000
Pd: 0.500 0.500 0.500

Computed properties:
spin magnetization	0.00	μB/f.u.
symmetry	P4/mmm
calculated formation energy	-0.260	eV per atom

=====

The following is a PBE-GGA calculation of BaPmMgAg after structural relaxation, from the Alexandria database.

Unit cell a=5.668 b=5.668 c=5.668 alpha=60.00 beta=60.00 gamma=60.00
Sites, in units of the cell vectors:
Ba: 0.000 0.000 0.000
Pm: 0.500 0.500 0.500
Mg: 0.750 0.750 0.750
Ag: 0.250 0.250 0.250

Computed properties:
spin magnetization	0.00	μB/f.u.
symmetry	F-43m
calculated formation energy	-0.015	eV per atom

=====

The following is a PBE-GGA calculation of BaPrMgAg after structural relaxation, from the Alexandria database.

Unit cell a=5.706 b=5.706 c=5.706 alpha=60.00 beta=60.00 gamma=60.00
Sites, in units of the cell vectors:
Ba: 0.000 0.000 0.000
Pr: 0.500 0.500 0.500
Mg: 0.250 0.250 0.250
Ag: 0.750 0.750 0.750

Computed properties:
spin magnetization	0.00	μB/f.u.
symmetry	F-43m
calculated formation energy	-0.027	eV per atom

=====

The following is a PBE-GGA calculation of BaMgAgPt after structural relaxation, from the Alexandria database.

Unit cell a=6.262 b=6.262 c=6.262 alpha=43.76 beta=43.76 gamma=43.76
Sites, in units of the cell vectors:
Ba: 0.000 0.000 0.000
Mg: 0.513 0.513 0.513
Ag: 0.800 0.800 0.800
Pt: 0.201 0.201 0.201

Computed properties:
spin magnetization	0.00	μB/f.u.
symmetry	R3m
calculated formation energy	-0.534	eV per atom

=====

The following is a PBE-GGA calculation of RbBa2MgAg after structural relaxation, from the Alexandria database.

Unit cell a=6.647 b=6.647 c=5.548 alpha=90.00 beta=90.00 gamma=90.00
Sites, in units of the cell vectors:
Rb: 0.000 0.000 0.000
Ba: 0.000 0.500 0.500
Ba: 0.500 0.000 0.500
Mg: 0.500 0.500 0.000
Ag: 0.500 0.500 0.500

Computed properties:
spin magnetization	0.46	μB/f.u.
symmetry	P4/mmm
calculated formation energy	0.021	eV per atom

=====

The following is a PBE-GGA calculation of Ba2MgAgRh after structural relaxation, from the Alexandria database.

Unit cell a=5.882 b=5.882 c=5.297 alpha=90.00 beta=90.00 gamma=90.00
Sites, in units of the cell vectors:
Ba: 0.000 0.500 0.000
Ba: 0.500 0.000 0.000
Mg: 0.000 0.000 0.500
Ag: 0.500 0.500 0.500
Rh: 0.500 0.500 0.000

Computed properties:
spin magnetization	0.00	μB/f.u.
symmetry	P4/mmm
calculated formation energy	0.052	eV per atom

=====

The following is a PBE-GGA calculation of Ba2MgAgRh after structural relaxation, from the Alexandria database.

Unit cell a=5.981 b=5.981 c=5.035 alpha=90.00 beta=90.00 gamma=90.00
Sites, in units of the cell vectors:
Ba: 0.000 0.500 0.000
Ba: 0.500 0.000 0.000
Mg: 0.000 0.000 0.500
Ag: 0.500 0.500 0.500
Rh: 0.000 0.000 0.000

Computed properties:
spin magnetization	0.00	μB/f.u.
symmetry	P4/mmm
calculated formation energy	-0.142	eV per atom

=====

The following is a PBE-GGA calculation of BaMg2AgRh after structural relaxation, from the Alexandria database.

Unit cell a=4.984 b=4.984 c=5.463 alpha=90.00 beta=90.00 gamma=90.00
Sites, in units of the cell vectors:
Ba: 0.000 0.000 0.000
Mg: 0.000 0.500 0.500
Mg: 0.500 0.000 0.500
Ag: 0.500 0.500 0.000
Rh: 0.500 0.500 0.500

Computed properties:
spin magnetization	0.00	μB/f.u.
symmetry	P4/mmm
calculated formation energy	-0.171	eV per atom

=====

The following is a PBE-GGA calculation of BaMgAgSb2 after structural relaxation, from the Alexandria database.

Unit cell a=7.573 b=7.573 c=7.573 alpha=144.35 beta=144.35 gamma=51.30
Sites, in units of the cell vectors:
Ba: 0.000 0.000 0.000
Mg: 0.750 0.250 0.500
Ag: 0.250 0.750 0.500
Sb: 0.378 0.378 0.000
Sb: 0.622 0.622 0.000

Computed properties:
spin magnetization	0.00	μB/f.u.
symmetry	I-4m2
ΔE_f (raw)	-0.581	eV/atom

=====

The following is a PBE-GGA calculation of Ba2MgAg3Sb4 after structural relaxation, from the Alexandria database.

Unit cell a=4.885 b=4.885 c=11.903 alpha=90.00 beta=90.00 gamma=90.00
Sites, in units of the cell vectors:
Ba: 0.000 0.500 0.243
Ba: 0.500 0.000 0.757
Mg: 0.000 0.000 0.500
Ag: 0.000 0.500 0.869
Ag: 0.500 0.000 0.131
Ag: 0.500 0.500 0.500
Sb: 0.000 0.000 0.000
Sb: 0.000 0.500 0.636
Sb: 0.500 0.000 0.364
Sb: 0.500 0.500 0.000

Computed properties:
spin magnetization	0.00	μB/f.u.
symmetry	P-4m2
ΔE_f (raw)	-0.570	eV/atom

=====

The following is a PBE-GGA calculation of Ba2MgAgSb after structural relaxation, from the Alexandria database.

Unit cell a=6.183 b=6.183 c=5.178 alpha=90.00 beta=90.00 gamma=90.00
Sites, in units of the cell vectors:
Ba: 0.000 0.500 0.000
Ba: 0.500 0.000 0.000
Mg: 0.000 0.000 0.500
Ag: 0.000 0.000 0.000
Sb: 0.500 0.500 0.500

Computed properties:
spin magnetization	0.00	μB/f.u.
symmetry	P4/mmm
ΔE_f (raw)	-0.276	eV/atom

=====

The following is a PBE-GGA calculation of Ba2Mg12ScAg3 after structural relaxation, from the Alexandria database.

Unit cell a=9.255 b=9.255 c=9.255 alpha=57.58 beta=57.58 gamma=57.58
Sites, in units of the cell vectors:
Ba: 0.082 0.082 0.082
Ba: 0.918 0.918 0.918
Mg: 0.043 0.664 0.664
Mg: 0.275 0.275 0.624
Mg: 0.275 0.624 0.275
Mg: 0.336 0.336 0.957
Mg: 0.336 0.957 0.336
Mg: 0.376 0.725 0.725
Mg: 0.624 0.275 0.275
Mg: 0.664 0.043 0.664
Mg: 0.664 0.664 0.043
Mg: 0.725 0.376 0.725
Mg: 0.725 0.725 0.376
Mg: 0.957 0.336 0.336
Sc: 0.500 0.500 0.500
Ag: 0.000 0.500 0.500
Ag: 0.500 0.000 0.500
Ag: 0.500 0.500 0.000

Computed properties:
spin magnetization	0.00	μB/f.u.
symmetry	R-3m
calculated formation energy	0.151	eV per atom

=====

The following is a PBE-GGA calculation of BaMg2AgSe4 after structural relaxation, from the Alexandria database.

Unit cell a=7.390 b=7.390 c=13.914 alpha=90.00 beta=90.00 gamma=147.58
Sites, in units of the cell vectors:
Ba: 0.129 0.871 0.750
Ba: 0.871 0.129 0.250
Mg: 0.382 0.618 0.557
Mg: 0.382 0.618 0.943
Mg: 0.618 0.382 0.057
Mg: 0.618 0.382 0.443
Ag: 0.152 0.848 0.250
Ag: 0.848 0.152 0.750
Se: 0.000 0.000 0.000
Se: 0.000 0.000 0.500
Se: 0.258 0.742 0.099
Se: 0.258 0.742 0.401
Se: 0.455 0.545 0.750
Se: 0.545 0.455 0.250
Se: 0.742 0.258 0.599
Se: 0.742 0.258 0.901

Computed properties:
spin magnetization	0.00	μB/f.u.
symmetry	Cmcm
ΔE_f (raw)	-1.010	eV/atom

=====

The following is a PBE-GGA calculation of BaMgAg2Se after structural relaxation, from the Alexandria database.

Unit cell a=5.165 b=5.165 c=5.341 alpha=90.00 beta=90.00 gamma=90.00
Sites, in units of the cell vectors:
Ba: 0.000 0.000 0.000
Mg: 0.500 0.500 0.500
Ag: 0.000 0.500 0.500
Ag: 0.500 0.000 0.500
Se: 0.500 0.500 0.000

Computed properties:
spin magnetization	0.00	μB/f.u.
symmetry	P4/mmm
ΔE_f (raw)	-0.432	eV/atom